This record from Alexandria describes a PBEsol-optimized structure of IrRuWO2. The functional is meta-GGA SCAN.

Results
* VASP energy: -36.97 eV/atom
* space-group type: P4/mmm, No. 123
* ΔE_f (raw): 0.644 eV/atom

Geometry as POSCAR:
```
IrRuWO2
1.0
3.637 0.000 0.000
0.000 3.637 0.000
0.000 0.000 5.686
W Ir O Ru
1 1 2 1
Direct
0.000 0.000 0.500
0.000 0.000 0.000
0.000 0.500 0.000
0.500 0.000 0.000
0.500 0.500 0.500
```



This record from Alexandria describes a PBEsol-optimized structure of Li5Ca9B7O21F2. The functional is meta-GGA SCAN.

Results
* VASP energy: -9.62 eV/atom
* space-group type: P1, No. 1
* ΔE_f (raw): -3.058 eV/atom

Geometry as POSCAR:
```
Li5Ca9B7O21F2
1.0
-1.057 -0.151 -3.371
-7.007 -10.504 2.197
-12.360 1.134 3.390
Ca O F B Li
9 21 2 7 5
Direct
0.090 0.481 0.218
0.639 0.270 0.158
0.535 0.615 0.734
0.531 0.184 0.883
0.506 0.906 0.255
0.053 0.245 0.608
0.561 0.741 0.988
0.034 0.639 0.475
0.578 0.007 0.584
0.572 0.603 0.210
0.099 0.927 0.533
0.536 0.313 0.675
0.035 0.716 0.604
0.528 0.818 0.124
0.130 0.406 0.077
0.062 0.020 0.697
0.025 0.547 0.868
0.541 0.690 0.338
0.999 0.001 0.119
0.989 0.215 0.992
0.615 0.138 0.373
0.540 0.530 0.592
0.195 0.125 0.195
0.601 0.350 0.291
0.534 0.397 0.804
0.565 0.217 0.506
0.004 0.856 0.394
0.049 0.880 0.906
0.077 0.616 0.010
0.046 0.094 0.835
0.567 0.793 0.772
0.061 0.457 0.431
0.078 0.524 0.982
0.547 0.704 0.223
0.594 0.236 0.391
0.045 0.834 0.511
0.052 0.999 0.814
0.060 0.114 0.101
0.536 0.414 0.688
0.110 0.062 0.364
0.035 0.386 0.888
0.065 0.833 0.772
0.028 0.904 0.048
0.560 0.500 0.401
```



This record from Alexandria describes a PBEsol-optimized structure of CdInP2. The functional is meta-GGA SCAN.

Results
* VASP energy: -21.05 eV/atom
* space-group type: P4mm, No. 99
* energy of formation from the pure elements: 0.1024 eV per atom

Geometry as POSCAR:
```
CdInP2
1.0
-3.131 -0.639 0.991
0.434 -3.239 -0.718
2.364 -1.170 6.712
P In Cd
2 1 1
Direct
0.000 0.000 0.156
0.500 0.500 0.097
0.500 0.500 0.743
0.000 0.000 0.505
```



This record from Alexandria describes a PBEsol-optimized structure of BeIn2Ni. The functional is meta-GGA SCAN.

Results
* VASP energy: -21.76 eV/atom
* space-group type: R3m, No. 160
* energy of formation from the pure elements: 0.0615 eV per atom
* distance to the lowest polymorph of the same formula: 0.0 meV per atom

Geometry as POSCAR:
```
BeIn2Ni
1.0
-3.710 1.344 -0.422
-2.974 -2.549 -0.638
-2.904 -0.791 4.355
In Be Ni
2 1 1
Direct
0.976 0.976 0.071
0.773 0.773 0.682
0.200 0.200 0.401
0.551 0.551 0.347
```



This record from Alexandria describes a PBEsol-optimized structure of YTe2Pb. The functional is meta-GGA SCAN.

Results
* VASP energy: -45.05 eV/atom
* space-group type: R3m, No. 160
* ΔE_f (raw): -0.517 eV/atom

Geometry as POSCAR:
```
YTe2Pb
1.0
-2.837 1.712 -2.514
-3.956 -1.276 0.155
-3.984 6.214 5.289
Y Te Pb
1 2 1
Direct
0.494 0.494 0.518
0.989 0.989 0.034
0.764 0.764 0.709
0.253 0.253 0.240
```



This record from Alexandria describes a PBEsol-optimized structure of AlRe2. The functional is meta-GGA SCAN.

Results
* VASP energy: -50.17 eV/atom
* space-group type: C2/m, No. 12
* energy of formation from the pure elements: -0.1863 eV per atom

Geometry as POSCAR:
```
AlRe2
1.0
-1.089 2.577 -0.417
1.224 -1.834 -4.935
-5.563 -2.174 1.090
Al Re
2 4
Direct
0.357 0.713 0.959
0.643 0.287 0.041
0.975 0.949 0.696
0.311 0.623 0.371
0.689 0.377 0.629
0.025 0.051 0.304
```



This record from Alexandria describes a PBEsol-optimized structure of Pd3PbW. The functional is meta-GGA SCAN.

Results
* VASP energy: -46.98 eV/atom
* space-group type: Pm-3m, No. 221
* energy of formation from the pure elements: 1.7751 eV per atom

Geometry as POSCAR:
```
Pd3PbW
1.0
-0.670 1.004 -4.712
-0.758 -4.721 -0.898
-4.758 0.610 0.807
Pb Pd W
1 3 1
Direct
0.000 0.000 0.000
0.500 0.000 0.000
0.000 0.000 0.500
0.000 0.500 0.000
0.500 0.500 0.500
```



This record from Alexandria describes a PBEsol-optimized structure of K4V5CuClO15. The functional is meta-GGA SCAN.

Results
* VASP energy: -11.53 eV/atom
* space-group type: P4, No. 75
* ΔE_f (raw): -2.395 eV/atom

Geometry as POSCAR:
```
K4V5CuClO15
1.0
-1.367 4.054 -3.333
-8.515 -1.174 2.065
0.822 5.753 6.661
V K O Cl Cu
5 4 15 1 1
Direct
0.895 0.369 0.862
0.895 0.631 0.138
0.895 0.138 0.369
0.895 0.862 0.631
0.865 0.500 0.500
0.425 0.313 0.151
0.425 0.151 0.687
0.425 0.849 0.313
0.425 0.687 0.849
0.198 0.624 0.138
0.198 0.862 0.624
0.198 0.376 0.862
0.159 0.500 0.500
0.791 0.196 0.908
0.198 0.138 0.376
0.773 0.315 0.415
0.791 0.092 0.196
0.773 0.415 0.685
0.791 0.908 0.804
0.773 0.585 0.315
0.791 0.804 0.092
0.773 0.685 0.585
0.775 0.500 0.000
0.775 0.000 0.500
0.291 0.000 0.000
0.835 0.000 0.000
```



This record from Alexandria describes a PBEsol-optimized structure of RbTeAu. The functional is meta-GGA SCAN.

Results
* VASP energy: -43.19 eV/atom
* space-group type: Pmma, No. 51
* ΔE_f (raw): -0.809 eV/atom

Geometry as POSCAR:
```
RbTeAu
1.0
-2.935 -0.861 4.117
4.488 -2.290 2.720
1.737 6.487 2.595
Te Rb Au
2 2 2
Direct
0.000 0.750 0.695
0.000 0.250 0.305
0.500 0.750 0.289
0.500 0.250 0.711
0.000 0.000 0.000
0.000 0.500 0.000
```



This record from Alexandria describes a PBEsol-optimized structure of Mg5Ir3. The functional is meta-GGA SCAN.

Results
* VASP energy: -30.16 eV/atom
* space-group type: Cmmm, No. 65
* energy of formation from the pure elements: -0.3863 eV per atom

Geometry as POSCAR:
```
Mg5Ir3
1.0
4.436 0.000 0.000
0.000 5.422 -0.452
0.000 -1.310 5.280
Ir Mg
3 5
Direct
0.500 0.760 0.240
0.000 0.500 0.500
0.500 0.240 0.760
0.500 0.272 0.272
0.500 0.728 0.728
0.000 0.000 0.500
0.000 0.500 0.000
0.000 0.000 0.000
```



This record from Alexandria describes a PBEsol-optimized structure of LaTaSi2. The functional is meta-GGA SCAN.

Results
* VASP energy: -32.74 eV/atom
* space-group type: Pmmm, No. 47
* distance to the lowest polymorph of the same formula: 0.0 meV per atom
* ΔE_f (raw): -0.306 eV/atom

Geometry as POSCAR:
```
LaTaSi2
1.0
-0.866 2.018 2.306
0.404 -2.601 2.428
6.354 1.770 0.839
Si La Ta
2 1 1
Direct
0.000 0.000 0.814
0.000 0.000 0.186
0.500 0.500 0.500
0.500 0.500 0.000
```



This record from Alexandria describes a PBEsol-optimized structure of InPSe. The functional is meta-GGA SCAN.

Results
* VASP energy: -20.98 eV/atom
* space-group type: I4mm, No. 107
* ΔE_f (raw): 0.303 eV/atom

Geometry as POSCAR:
```
InPSe
1.0
3.473 0.000 0.000
0.000 3.473 0.000
-1.737 -1.737 5.537
In P Se
1 1 1
Direct
0.006 0.006 0.012
0.714 0.714 0.427
0.281 0.281 0.561
```